The following is a PBE calculation of crystalline Zn2Mo2AsP3 at its relaxed geometry, from OQMD via LeMat-Bulk.

Cell: 7.183 7.183 5.885 Å, 106.19 106.19 27.07°
Sites, in units of the cell vectors:
Zn (0.125, 0.125, 0.285)
Zn (0.875, 0.875, 0.715)
Mo (0.342, 0.342, 0.071)
Mo (0.658, 0.658, 0.929)
As (0.499, 0.501, 0.500)
P (0.209, 0.208, 0.700)
P (0.497, 0.503, 0.000)
P (0.792, 0.791, 0.300)

Calculated values
- Symmetry: C2, No. 5
- Total DFT energy (no corrections): -45.82 eV per cell
- V: 16.55 Å³ per atom
- Magnetization: 0.0 Bohr magnetons per cell